{"formula": "La3MgRu", "functional": "PBE", "state": "optimized geometry", "lattice": [[5.545, 0.000, 0.000], [0.000, 5.545, 0.000], [0.000, 0.000, 5.545]], "species": ["La", "La", "La", "Mg", "Ru"], "frac_coords": [[0.000, 0.000, 0.500], [0.000, 0.500, 0.000], [0.500, 0.000, 0.000], [0.500, 0.500, 0.500], [0.000, 0.000, 0.000]], "e_above_lowest_polymorph_mev_per_atom": 19, "space_group": "No. 221"}

***

{"formula": "LaMgRu2", "functional": "PBE", "state": "optimized geometry", "lattice": [[-1.583, 2.389, 5.150], [1.583, -2.389, 5.150], [1.583, 2.389, -5.150]], "species": ["La", "Mg", "Ru", "Ru"], "frac_coords": [[0.000, 0.000, 0.000], [0.285, 0.785, 0.500], [0.527, 0.527, 0.000], [0.734, 0.234, 0.500]], "space_group": "No. 44", "energy_ev_per_cell": -24.71}

***

{"formula": "LaMgRu2", "functional": "PBE", "state": "optimized geometry", "lattice": [[2.969, 0.000, 0.000], [0.000, 3.656, 0.000], [0.000, 0.000, 7.586]], "species": ["La", "Mg", "Ru", "Ru"], "frac_coords": [[0.000, 0.000, 0.000], [0.500, 0.500, 0.361], [0.000, 0.000, 0.585], [0.500, 0.500, 0.726]], "space_group": "No. 25", "energy_ev_per_cell": -24.69}

***

{"formula": "LaMgRu2", "functional": "PBE", "state": "optimized geometry", "lattice": [[1.487, 0.858, 10.138], [-1.487, 0.858, 10.138], [0.000, -1.717, 10.138]], "species": ["La", "Mg", "Ru", "Ru"], "frac_coords": [[0.000, 0.000, 0.000], [0.774, 0.774, 0.774], [0.245, 0.245, 0.245], [0.514, 0.514, 0.514]], "space_group": "No. 160", "energy_ev_per_cell": -23.40}

***

{"formula": "LaMgRu2", "functional": "PBE", "state": "optimized geometry", "lattice": [[3.093, -4.403, 0.000], [3.093, 4.403, 0.000], [-1.322, 0.000, 2.716]], "species": ["La", "Mg", "Ru", "Ru"], "frac_coords": [[0.000, 0.000, 0.000], [0.500, 0.500, 0.000], [0.000, 0.500, 0.500], [0.500, 0.000, 0.500]], "space_group": "No. 12", "energy_ev_per_cell": -24.32}

***

{"formula": "LaMgSc2Ru", "functional": "PBE", "state": "optimized geometry", "lattice": [[4.958, 0.000, 0.000], [0.000, 4.958, 0.000], [0.000, 0.000, 5.260]], "species": ["La", "Mg", "Sc", "Sc", "Ru"], "frac_coords": [[0.000, 0.000, 0.000], [0.500, 0.500, 0.000], [0.000, 0.500, 0.500], [0.500, 0.000, 0.500], [0.500, 0.500, 0.500]], "e_above_lowest_polymorph_mev_per_atom": 0, "space_group": "No. 123"}

***

{"formula": "LaMg2ScRu", "functional": "PBE", "state": "optimized geometry", "lattice": [[5.142, 0.000, 0.000], [0.000, 5.142, 0.000], [0.000, 0.000, 4.822]], "species": ["La", "Mg", "Mg", "Sc", "Ru"], "frac_coords": [[0.000, 0.000, 0.000], [0.000, 0.500, 0.500], [0.500, 0.000, 0.500], [0.500, 0.500, 0.000], [0.500, 0.500, 0.500]], "space_group": "No. 123", "energy_ev_per_cell": -24.19}

***

{"formula": "LaMgSc2Ru", "functional": "PBE", "state": "optimized geometry", "lattice": [[5.108, 0.000, 0.000], [0.000, 5.108, 0.000], [0.000, 0.000, 5.385]], "species": ["La", "Mg", "Sc", "Sc", "Ru"], "frac_coords": [[0.000, 0.000, 0.000], [0.500, 0.500, 0.000], [0.000, 0.500, 0.500], [0.500, 0.000, 0.500], [0.000, 0.000, 0.500]], "e_above_lowest_polymorph_mev_per_atom": 85, "space_group": "No. 123"}

***

{"formula": "LaMg2SnRu", "functional": "PBE", "state": "optimized geometry", "lattice": [[4.970, 0.000, 0.000], [0.000, 4.970, 0.000], [0.000, 0.000, 5.081]], "species": ["La", "Mg", "Mg", "Sn", "Ru"], "frac_coords": [[0.000, 0.000, 0.000], [0.000, 0.500, 0.500], [0.500, 0.000, 0.500], [0.500, 0.500, 0.000], [0.500, 0.500, 0.500]], "space_group": "No. 123", "energy_ev_per_cell": -22.49}

***

{"formula": "SrLa2MgRu", "functional": "PBE", "state": "optimized geometry", "lattice": [[5.412, 0.000, 0.000], [0.000, 5.412, 0.000], [0.000, 0.000, 6.079]], "species": ["Sr", "La", "La", "Mg", "Ru"], "frac_coords": [[0.000, 0.000, 0.000], [0.000, 0.500, 0.500], [0.500, 0.000, 0.500], [0.500, 0.500, 0.000], [0.000, 0.000, 0.500]], "e_above_lowest_polymorph_mev_per_atom": 64, "space_group": "No. 123"}

***

{"formula": "SrLa2MgRu", "functional": "PBE", "state": "optimized geometry", "lattice": [[5.466, 0.000, 0.000], [0.000, 5.466, 0.000], [0.000, 0.000, 5.589]], "species": ["Sr", "La", "La", "Mg", "Ru"], "frac_coords": [[0.000, 0.000, 0.000], [0.000, 0.500, 0.500], [0.500, 0.000, 0.500], [0.500, 0.500, 0.000], [0.500, 0.500, 0.500]], "e_above_lowest_polymorph_mev_per_atom": 0, "space_group": "No. 123"}

***

{"formula": "SrLaMg2Ru", "functional": "PBE", "state": "optimized geometry", "lattice": [[5.392, 0.000, 0.000], [0.000, 5.392, 0.000], [0.000, 0.000, 5.137]], "species": ["Sr", "La", "Mg", "Mg", "Ru"], "frac_coords": [[0.000, 0.000, 0.000], [0.500, 0.500, 0.000], [0.000, 0.500, 0.500], [0.500, 0.000, 0.500], [0.500, 0.500, 0.500]], "space_group": "No. 123", "energy_ev_per_cell": -19.57}

***

{"formula": "LaTbMgRu", "functional": "PBE", "state": "optimized geometry", "lattice": [[0.000, 3.647, 3.647], [3.647, 0.000, 3.647], [3.647, 3.647, 0.000]], "species": ["La", "Tb", "Mg", "Ru"], "frac_coords": [[0.000, 0.000, 0.000], [0.500, 0.500, 0.500], [0.250, 0.250, 0.250], [0.750, 0.750, 0.750]], "space_group": "No. 216", "energy_ev_per_cell": -20.84}

***

{"formula": "La6Mg2TcRu", "functional": "PBE", "state": "optimized geometry", "lattice": [[7.816, 0.000, 0.000], [3.895, 6.782, 0.000], [3.884, 2.249, 6.411]], "species": ["La", "La", "La", "La", "La", "La", "Mg", "Mg", "Tc", "Ru"], "frac_coords": [[0.000, 0.000, 0.000], [0.001, 0.493, 0.509], [0.002, 0.998, 0.501], [0.501, 0.998, 0.001], [0.503, 0.500, 0.501], [0.508, 0.495, 0.000], [0.002, 0.496, 0.000], [0.503, 0.999, 0.503], [0.732, 0.227, 0.732], [0.246, 0.741, 0.247]], "space_group": "No. 1", "energy_ev_per_cell": -53.31}

***

{"formula": "LaMgTc2Ru", "functional": "PBE", "state": "optimized geometry", "lattice": [[4.665, 0.000, 0.000], [0.000, 4.665, 0.000], [0.000, 0.000, 5.160]], "species": ["La", "Mg", "Tc", "Tc", "Ru"], "frac_coords": [[0.000, 0.000, 0.000], [0.000, 0.000, 0.500], [0.000, 0.500, 0.000], [0.500, 0.000, 0.000], [0.500, 0.500, 0.500]], "space_group": "No. 123", "energy_ev_per_cell": -25.69}

***

{"formula": "LaMgTeRu2", "functional": "PBE", "state": "optimized geometry", "lattice": [[4.807, 0.000, 0.000], [0.000, 4.807, 0.000], [0.000, 0.000, 5.928]], "species": ["La", "Mg", "Te", "Ru", "Ru"], "frac_coords": [[0.000, 0.000, 0.000], [0.000, 0.000, 0.500], [0.500, 0.500, 0.500], [0.000, 0.500, 0.000], [0.500, 0.000, 0.000]], "space_group": "No. 123", "formation_energy_uncorrected_ev_per_atom": 1.240}

***

{"formula": "La2MgTlRu", "functional": "PBE", "state": "optimized geometry", "lattice": [[5.348, 0.000, 0.000], [0.000, 5.348, 0.000], [0.000, 0.000, 5.241]], "species": ["La", "La", "Mg", "Tl", "Ru"], "frac_coords": [[0.000, 0.500, 0.000], [0.500, 0.000, 0.000], [0.000, 0.000, 0.500], [0.500, 0.500, 0.500], [0.000, 0.000, 0.000]], "e_above_lowest_polymorph_mev_per_atom": 0, "space_group": "No. 123"}

***

{"formula": "La2MgTlRu", "functional": "PBE", "state": "optimized geometry", "lattice": [[5.405, 0.000, 0.000], [0.000, 5.405, 0.000], [0.000, 0.000, 5.424]], "species": ["La", "La", "Mg", "Tl", "Ru"], "frac_coords": [[0.000, 0.500, 0.000], [0.500, 0.000, 0.000], [0.000, 0.000, 0.500], [0.500, 0.500, 0.500], [0.500, 0.500, 0.000]], "e_above_lowest_polymorph_mev_per_atom": 76, "space_group": "No. 123"}

***

{"formula": "LaMg2TlRu", "functional": "PBE", "state": "optimized geometry", "lattice": [[5.189, 0.000, 0.000], [0.000, 5.189, 0.000], [0.000, 0.000, 5.160]], "species": ["La", "Mg", "Mg", "Tl", "Ru"], "frac_coords": [[0.000, 0.000, 0.000], [0.000, 0.500, 0.500], [0.500, 0.000, 0.500], [0.500, 0.500, 0.000], [0.000, 0.000, 0.500]], "space_group": "No. 123", "energy_ev_per_cell": -20.11}

***

{"formula": "LaTmMgRu", "functional": "PBE", "state": "optimized geometry", "lattice": [[0.000, 3.617, 3.617], [3.617, 0.000, 3.617], [3.617, 3.617, 0.000]], "species": ["La", "Tm", "Mg", "Ru"], "frac_coords": [[0.000, 0.000, 0.000], [0.500, 0.500, 0.500], [0.750, 0.750, 0.750], [0.250, 0.250, 0.250]], "space_group": "No. 216", "energy_ev_per_cell": -20.77}

***

{"formula": "La2MgVRu", "functional": "PBE", "state": "optimized geometry", "lattice": [[5.533, 0.000, 0.000], [0.000, 5.533, 0.000], [0.000, 0.000, 4.449]], "species": ["La", "La", "Mg", "V", "Ru"], "frac_coords": [[0.000, 0.500, 0.000], [0.500, 0.000, 0.000], [0.000, 0.000, 0.500], [0.500, 0.500, 0.000], [0.500, 0.500, 0.500]], "space_group": "No. 123", "energy_ev_per_cell": -27.86}

***

{"formula": "LaYMg2Ru", "functional": "PBE", "state": "optimized geometry", "lattice": [[5.176, 0.000, 0.000], [0.000, 5.176, 0.000], [0.000, 0.000, 5.112]], "species": ["La", "Y", "Mg", "Mg", "Ru"], "frac_coords": [[0.000, 0.000, 0.000], [0.500, 0.500, 0.000], [0.000, 0.500, 0.500], [0.500, 0.000, 0.500], [0.500, 0.500, 0.500]], "space_group": "No. 123", "energy_ev_per_cell": -23.93}

***

{"formula": "LaY2MgRu", "functional": "PBE", "state": "optimized geometry", "lattice": [[5.434, 0.000, 0.000], [0.000, 5.434, 0.000], [0.000, 0.000, 5.387]], "species": ["La", "Y", "Y", "Mg", "Ru"], "frac_coords": [[0.000, 0.000, 0.000], [0.000, 0.500, 0.500], [0.500, 0.000, 0.500], [0.500, 0.500, 0.000], [0.000, 0.000, 0.500]], "e_above_lowest_polymorph_mev_per_atom": 0, "space_group": "No. 123"}

***

{"formula": "La2YMgRu", "functional": "PBE", "state": "optimized geometry", "lattice": [[5.481, 0.000, 0.000], [0.000, 5.481, 0.000], [0.000, 0.000, 5.498]], "species": ["La", "La", "Y", "Mg", "Ru"], "frac_coords": [[0.000, 0.500, 0.000], [0.500, 0.000, 0.000], [0.000, 0.000, 0.500], [0.500, 0.500, 0.500], [0.000, 0.000, 0.000]], "e_above_lowest_polymorph_mev_per_atom": 0, "space_group": "No. 123"}

***

{"formula": "LaY2MgRu", "functional": "PBE", "state": "optimized geometry", "lattice": [[5.278, 0.000, 0.000], [0.000, 5.278, 0.000], [0.000, 0.000, 5.350]], "species": ["La", "Y", "Y", "Mg", "Ru"], "frac_coords": [[0.000, 0.000, 0.000], [0.000, 0.500, 0.500], [0.500, 0.000, 0.500], [0.500, 0.500, 0.000], [0.500, 0.500, 0.500]], "e_above_lowest_polymorph_mev_per_atom": 37, "space_group": "No. 123"}

***

{"formula": "La2YMgRu", "functional": "PBE", "state": "optimized geometry", "lattice": [[5.384, 0.000, 0.000], [0.000, 5.384, 0.000], [0.000, 0.000, 5.402]], "species": ["La", "La", "Y", "Mg", "Ru"], "frac_coords": [[0.000, 0.500, 0.000], [0.500, 0.000, 0.000], [0.000, 0.000, 0.500], [0.500, 0.500, 0.500], [0.500, 0.500, 0.000]], "e_above_lowest_polymorph_mev_per_atom": 120, "space_group": "No. 123"}

***

{"formula": "LaMgZnRu", "functional": "PBE", "state": "optimized geometry", "lattice": [[0.000, 3.456, 3.456], [3.456, 0.000, 3.456], [3.456, 3.456, 0.000]], "species": ["La", "Mg", "Zn", "Ru"], "frac_coords": [[0.000, 0.000, 0.000], [0.500, 0.500, 0.500], [0.250, 0.250, 0.250], [0.750, 0.750, 0.750]], "space_group": "No. 216", "energy_ev_per_cell": -17.27}

***

{"formula": "LaMg3S", "functional": "PBE", "state": "optimized geometry", "lattice": [[6.211, 0.000, 0.000], [0.000, 6.211, 0.000], [0.000, 0.000, 6.211]], "species": ["La", "Mg", "Mg", "Mg", "S"], "frac_coords": [[0.000, 0.000, 0.000], [0.000, 0.000, 0.500], [0.000, 0.500, 0.000], [0.500, 0.000, 0.000], [0.500, 0.500, 0.500]], "e_above_lowest_polymorph_mev_per_atom": 1347, "space_group": "No. 221", "formation_energy_uncorrected_ev_per_atom": 1.232}

***

{"formula": "La2MgS2", "functional": "PBE", "state": "optimized geometry", "lattice": [[-2.452, 2.452, 6.765], [2.452, -2.452, 6.765], [2.452, 2.452, -6.765]], "species": ["La", "La", "Mg", "S", "S"], "frac_coords": [[0.148, 0.148, 0.000], [0.852, 0.852, 0.000], [0.500, 0.500, 0.000], [0.250, 0.750, 0.500], [0.750, 0.250, 0.500]], "e_above_lowest_polymorph_mev_per_atom": 0, "space_group": "No. 139", "formation_energy_uncorrected_ev_per_atom": -1.260}